Run A
{"formula": "AlGaI2", "functional": "PBE-GGA", "state": "relaxed", "cell": [[0.000, 4.040, 4.040], [4.040, 0.000, 4.040], [4.040, 4.040, 0.000]], "species": ["I", "I", "Al", "Ga"], "frac_coords": [[0.250, 0.250, 0.250], [0.750, 0.750, 0.750], [0.000, 0.000, 0.000], [0.500, 0.500, 0.500]], "spacegroup": "Fm-3m", "crystal_system": "cubic"}

=====

Run B
{"formula": "AlGaI2", "functional": "PBE-GGA", "state": "relaxed", "cell": [[-5.209, -3.605, 4.112], [5.450, -3.888, 3.496], [0.557, 1.486, 8.944]], "species": ["I", "I", "I", "I", "Al", "Al", "Ga", "Ga"], "frac_coords": [[0.625, 0.125, 0.250], [0.125, 0.625, 0.250], [0.375, 0.375, 0.750], [0.875, 0.875, 0.750], [0.500, 0.500, 0.000], [0.250, 0.750, 0.500], [0.000, 0.000, 0.000], [0.750, 0.250, 0.500]], "spacegroup": "I-42d", "crystal_system": "tetragonal"}

=====

Most stable to least stable: run A, run B

=====

Run A
{"formula": "AlGaIN2", "functional": "PBE-GGA", "state": "relaxed", "cell": [[-2.935, -0.767, 2.349], [-1.182, -5.553, -3.289], [2.373, -1.894, 2.346]], "species": ["I", "Al", "Ga", "N", "N"], "frac_coords": [[0.500, 0.500, 0.500], [0.000, 0.000, 0.000], [0.000, 0.500, 0.000], [0.000, 0.000, 0.500], [0.500, 0.000, 0.000]], "spacegroup": "P4/mmm", "crystal_system": "tetragonal"}

=====

Run B
{"formula": "AlGaIN2", "functional": "PBE-GGA", "state": "relaxed", "cell": [[-0.460, 3.310, 1.951], [-2.343, 1.316, -2.785], [-4.855, -2.411, 2.946]], "species": ["I", "Al", "Ga", "N", "N"], "frac_coords": [[0.000, 0.000, 0.500], [0.000, 0.000, 0.000], [0.500, 0.500, 0.500], [0.000, 0.500, 0.000], [0.500, 0.000, 0.000]], "spacegroup": "P4/mmm", "crystal_system": "tetragonal"}

=====

Run C
{"formula": "AlGaIN2", "functional": "PBE-GGA", "state": "relaxed", "cell": [[-0.011, -1.434, 3.658], [3.877, 0.589, 0.242], [-1.006, 5.708, 2.235]], "species": ["I", "Al", "Ga", "N", "N"], "frac_coords": [[0.000, 0.000, 0.500], [0.500, 0.500, 0.500], [0.000, 0.000, 0.000], [0.000, 0.500, 0.000], [0.500, 0.000, 0.000]], "spacegroup": "P4/mmm", "crystal_system": "tetragonal"}

=====

Most stable to least stable: run B, run A, run C

=====

Run A
{"formula": "AlInGa2", "functional": "PBE-GGA", "state": "relaxed", "cell": [[4.322, 0.000, 0.000], [2.161, 3.743, 0.000], [2.161, 1.248, 5.448]], "species": ["Al", "In", "Ga", "Ga"], "frac_coords": [[0.675, 0.675, 0.975], [0.494, 0.494, 0.519], [0.065, 0.065, 0.805], [0.267, 0.267, 0.200]], "spacegroup": "R3m", "crystal_system": "trigonal"}

=====

Run B
{"formula": "AlInGa2", "functional": "PBE-GGA", "state": "relaxed", "cell": [[3.066, 0.000, -0.104], [0.000, 3.148, 0.000], [0.296, 0.000, 8.619]], "species": ["Al", "In", "Ga", "Ga"], "frac_coords": [[0.250, 0.500, 0.750], [0.750, 0.500, 0.250], [0.749, 0.000, 0.953], [0.751, 0.000, 0.547]], "spacegroup": "Pmmm", "crystal_system": "orthorhombic"}

=====

Run C
{"formula": "AlInGa2", "functional": "PBE-GGA", "state": "relaxed", "cell": [[7.773, 0.000, 0.000], [0.000, 7.773, 0.000], [3.887, 3.887, 2.859]], "species": ["Al", "Al", "Ga", "Ga", "Ga", "Ga", "In", "In"], "frac_coords": [[0.500, 0.500, 0.000], [0.250, 0.750, 0.500], [0.595, 0.125, 0.250], [0.155, 0.625, 0.250], [0.375, 0.405, 0.750], [0.875, 0.845, 0.750], [0.000, 0.000, 0.000], [0.750, 0.250, 0.500]], "spacegroup": "I-42d", "crystal_system": "tetragonal"}

=====

Run D
{"formula": "AlInGa2", "functional": "PBE-GGA", "state": "relaxed", "cell": [[-1.608, -0.201, 2.911], [-2.465, -2.207, 0.392], [4.342, -6.682, 3.842]], "species": ["Al", "Ga", "Ga", "In"], "frac_coords": [[0.000, 0.000, 0.000], [0.257, 0.257, 0.229], [0.743, 0.743, 0.771], [0.500, 0.500, 0.500]], "spacegroup": "R-3m", "crystal_system": "trigonal"}

=====

Most stable to least stable: run B, run D, run A, run C

=====

Run A
{"formula": "AlInGa2", "functional": "PBE-GGA", "state": "relaxed", "cell": [[0.000, 3.458, 3.458], [3.458, 0.000, 3.458], [3.458, 3.458, 0.000]], "species": ["Al", "Ga", "Ga", "In"], "frac_coords": [[0.000, 0.000, 0.000], [0.250, 0.250, 0.250], [0.750, 0.750, 0.750], [0.500, 0.500, 0.500]], "spacegroup": "Fm-3m", "crystal_system": "cubic"}

=====

Run B
{"formula": "AlInGa2", "functional": "PBE-GGA", "state": "relaxed", "cell": [[4.278, 0.000, 0.000], [0.000, 4.339, 0.000], [0.000, 0.000, 4.339]], "species": ["Al", "Ga", "Ga", "In"], "frac_coords": [[0.500, 0.500, 0.500], [0.000, 0.000, 0.500], [0.000, 0.500, 0.000], [0.500, 0.000, 0.000]], "spacegroup": "P4/mmm", "crystal_system": "tetragonal"}

=====

Run C
{"formula": "AlInGa2", "functional": "PBE-GGA", "state": "relaxed", "cell": [[-2.008, -1.682, -1.680], [-1.535, -0.761, 2.597], [-4.920, 6.791, -0.919]], "species": ["Al", "Ga", "Ga", "In"], "frac_coords": [[0.500, 0.500, 0.000], [0.000, 0.000, 0.788], [0.000, 0.000, 0.212], [0.500, 0.500, 0.500]], "spacegroup": "P4/mmm", "crystal_system": "tetragonal"}

=====

Most stable to least stable: run C, run B, run A

=====

Run A
{"formula": "AlInGa", "functional": "PBE-GGA", "state": "relaxed", "cell": [[4.618, 0.000, 0.000], [2.309, 4.000, 0.000], [2.309, 1.333, 3.771]], "species": ["Al", "Ga", "In"], "frac_coords": [[0.250, 0.250, 0.250], [0.000, 0.000, 0.000], [0.500, 0.500, 0.500]], "spacegroup": "F-43m", "crystal_system": "cubic"}

=====

Run B
{"formula": "AlInGa", "functional": "PBE-GGA", "state": "relaxed", "cell": [[3.237, 0.000, 0.000], [0.000, 3.237, 0.000], [-1.618, -1.618, 5.954]], "species": ["Al", "Ga", "In"], "frac_coords": [[0.681, 0.681, 0.362], [0.318, 0.318, 0.636], [0.001, 0.001, 0.002]], "spacegroup": "I4mm", "crystal_system": "tetragonal"}

=====

Most stable to least stable: run B, run A

=====

Run A
{"formula": "AlInGa", "functional": "PBE-GGA", "state": "relaxed", "cell": [[-1.461, 2.715, -0.600], [-2.717, -1.538, -0.346], [-2.387, 1.444, 12.372]], "species": ["Al", "Al", "In", "In", "Ga", "Ga"], "frac_coords": [[0.750, 0.750, 0.569], [0.250, 0.250, 0.431], [0.249, 0.249, 0.104], [0.751, 0.751, 0.896], [0.250, 0.250, 0.714], [0.750, 0.750, 0.286]], "spacegroup": "C2/m", "crystal_system": "monoclinic"}

=====

Run B
{"formula": "AlInGa", "functional": "PBE-GGA", "state": "relaxed", "cell": [[4.804, 0.000, 0.000], [-2.402, 4.161, 0.000], [0.000, 0.000, 3.203]], "species": ["Al", "Ga", "In"], "frac_coords": [[0.667, 0.333, 0.502], [0.333, 0.667, 0.498], [0.000, 0.000, 0.000]], "spacegroup": "P3m1", "crystal_system": "trigonal"}

=====

Most stable to least stable: run A, run B

=====

Run A
{"formula": "Al2InGa", "functional": "PBE-GGA", "state": "relaxed", "cell": [[3.555, 0.000, 0.000], [0.000, 3.555, 0.000], [0.000, 0.000, 6.345]], "species": ["Al", "Al", "Ga", "In"], "frac_coords": [[0.000, 0.000, 0.783], [0.000, 0.000, 0.217], [0.500, 0.500, 0.000], [0.500, 0.500, 0.500]], "spacegroup": "P4/mmm", "crystal_system": "tetragonal"}

=====

Run B
{"formula": "Al2InGa", "functional": "PBE-GGA", "state": "relaxed", "cell": [[-3.343, -1.834, 1.915], [0.490, -3.467, -2.465], [2.615, -1.711, 2.927]], "species": ["Al", "Al", "Ga", "In"], "frac_coords": [[0.000, 0.000, 0.500], [0.000, 0.500, 0.000], [0.500, 0.000, 0.000], [0.500, 0.500, 0.500]], "spacegroup": "P4/mmm", "crystal_system": "tetragonal"}

=====

Run C
{"formula": "Al2InGa", "functional": "PBE-GGA", "state": "relaxed", "cell": [[-1.272, 3.178, -2.625], [-1.152, -0.888, -4.061], [-5.885, 0.050, -0.633]], "species": ["Al", "Al", "In", "Ga"], "frac_coords": [[0.065, 0.065, 0.805], [0.268, 0.268, 0.197], [0.494, 0.494, 0.518], [0.673, 0.673, 0.980]], "spacegroup": "R3m", "crystal_system": "trigonal"}

=====

Most stable to least stable: run B, run A, run C

=====

Run A
{"formula": "Al2InGa", "functional": "PBE-GGA", "state": "relaxed", "cell": [[-1.783, 0.673, -2.395], [-2.734, -1.344, -0.298], [-5.768, 7.275, 4.384]], "species": ["Al", "Al", "Ga", "In"], "frac_coords": [[0.094, 0.094, 0.717], [0.906, 0.906, 0.283], [0.500, 0.500, 0.500], [0.000, 0.000, 0.000]], "spacegroup": "R-3m", "crystal_system": "trigonal"}

=====

Run B
{"formula": "Al2InGa", "functional": "PBE-GGA", "state": "relaxed", "cell": [[7.724, 0.000, 0.000], [0.000, 7.724, 0.000], [3.862, 3.862, 2.854]], "species": ["Al", "Al", "Al", "Al", "Ga", "Ga", "In", "In"], "frac_coords": [[0.591, 0.125, 0.250], [0.159, 0.625, 0.250], [0.375, 0.409, 0.750], [0.875, 0.841, 0.750], [0.500, 0.500, 0.000], [0.250, 0.750, 0.500], [0.000, 0.000, 0.000], [0.750, 0.250, 0.500]], "spacegroup": "I-42d", "crystal_system": "tetragonal"}

=====

Run C
{"formula": "Al2InGa", "functional": "PBE-GGA", "state": "relaxed", "cell": [[3.168, -3.669, 0.268], [2.795, -0.511, 3.937], [-0.791, -3.670, 3.079]], "species": ["Al", "Al", "Ga", "In"], "frac_coords": [[0.250, 0.250, 0.250], [0.750, 0.750, 0.750], [0.000, 0.000, 0.000], [0.500, 0.500, 0.500]], "spacegroup": "Fm-3m", "crystal_system": "cubic"}

=====

Most stable to least stable: run A, run C, run B

=====

Run A
{"formula": "AlIn2Ga2", "functional": "PBE-GGA", "state": "relaxed", "cell": [[7.893, 0.000, 0.000], [0.000, 7.893, 0.000], [0.000, 0.000, 3.737]], "species": ["Al", "Al", "Ga", "Ga", "Ga", "Ga", "In", "In", "In", "In"], "frac_coords": [[0.000, 0.000, 0.000], [0.500, 0.500, 0.000], [0.159, 0.659, 0.500], [0.659, 0.841, 0.500], [0.841, 0.341, 0.500], [0.341, 0.159, 0.500], [0.356, 0.856, 0.000], [0.856, 0.644, 0.000], [0.644, 0.144, 0.000], [0.144, 0.356, 0.000]], "spacegroup": "P4/mbm", "crystal_system": "tetragonal"}

=====

Run B
{"formula": "AlIn2Ga2", "functional": "PBE-GGA", "state": "relaxed", "cell": [[6.909, 0.000, 0.000], [0.000, 6.909, 0.000], [0.000, 0.000, 4.719]], "species": ["Al", "Al", "Ga", "Ga", "Ga", "Ga", "In", "In", "In", "In"], "frac_coords": [[0.000, 0.000, 0.000], [0.500, 0.500, 0.000], [0.365, 0.865, 0.000], [0.865, 0.635, 0.000], [0.635, 0.135, 0.000], [0.135, 0.365, 0.000], [0.179, 0.679, 0.500], [0.679, 0.821, 0.500], [0.821, 0.321, 0.500], [0.321, 0.179, 0.500]], "spacegroup": "P4/mbm", "crystal_system": "tetragonal"}

=====

Most stable to least stable: run B, run A

=====

Run A
{"formula": "Al6Ga2Ir", "functional": "PBE-GGA", "state": "relaxed", "cell": [[-0.571, -0.270, -3.119], [-1.582, -6.655, 0.865], [-5.733, 5.015, 0.615]], "species": ["Al", "Al", "Al", "Al", "Al", "Al", "Ga", "Ga", "Ir"], "frac_coords": [[0.500, 0.621, 0.000], [0.500, 0.357, 0.347], [0.500, 0.011, 0.653], [0.000, 0.292, 0.000], [0.000, 0.729, 0.738], [0.000, 0.991, 0.262], [0.000, 0.318, 0.634], [0.000, 0.684, 0.366], [0.500, 0.997, 0.000]], "spacegroup": "Amm2", "crystal_system": "orthorhombic"}

=====

Run B
{"formula": "Al6Ga2Ir", "functional": "PBE-GGA", "state": "relaxed", "cell": [[-1.161, 5.627, 1.438], [-1.972, 0.998, -5.495], [-10.274, -2.926, 3.155]], "species": ["Al", "Al", "Al", "Al", "Al", "Al", "Al", "Al", "Al", "Al", "Al", "Al", "Ga", "Ga", "Ga", "Ga", "Ir", "Ir"], "frac_coords": [[0.295, 0.295, 0.349], [0.705, 0.705, 0.349], [0.205, 0.795, 0.849], [0.795, 0.205, 0.849], [0.205, 0.795, 0.151], [0.795, 0.205, 0.151], [0.295, 0.295, 0.651], [0.705, 0.705, 0.651], [0.286, 0.286, 0.000], [0.714, 0.714, 0.000], [0.214, 0.786, 0.500], [0.786, 0.214, 0.500], [0.000, 0.000, 0.327], [0.500, 0.500, 0.827], [0.500, 0.500, 0.173], [0.000, 0.000, 0.673], [0.000, 0.000, 0.000], [0.500, 0.500, 0.500]], "spacegroup": "P4_2/mnm", "crystal_system": "tetragonal"}

=====

Most stable to least stable: run A, run B